[1]
Below is a relaxed structure of TbThTeRh, with properties calculated at the PBE level.

Values from the calculation:
- Uncorrected energy: -6.698 eV/atom
- Symmetry: R3m

a = 4.1507 Å, b = 4.1512 Å, c = 7.9442 Å
α = 90.00°, β = 105.15°, γ = 120.00°
Fractional coordinates of all 4 atoms:
Te1 0.9728 0.3845 0.3721
Tb1 0.4976 0.1468 0.6597
Th1 0.1021 0.9490 0.0664
Rh1 0.3054 0.5506 0.8715

---

[2]
Below is a relaxed structure of Ce5PmIn2, with properties calculated at the PBE level.

Values from the calculation:
- Energy relative to the elements: -204.1 meV per atom
- Symmetry: Pbam

a = 4.6616 Å, b = 6.8854 Å, c = 13.8309 Å
α = 90.00°, β = 90.00°, γ = 90.00°
Last column: magnetic moment on the atom in μB.
Fractional coordinates of all 16 atoms:
Ce1 0.0000 0.4581 0.2702  0.50
Pm1 0.0000 0.5000 0.0000  0.06
Ce2 0.5000 0.7321 0.6386  0.54
Ce3 0.5000 0.7679 0.1386  0.54
Ce4 0.0000 0.5000 0.5000  0.59
Ce5 0.0000 0.9581 0.2298  0.50
Ce6 0.5000 0.2321 0.8614  0.54
In1 0.5000 0.7563 0.3805  -0.01
In2 0.5000 0.2563 0.1195  -0.01
In3 0.5000 0.2437 0.6195  -0.01
Ce7 0.0000 0.5419 0.7298  0.50
Pm2 0.0000 0.0000 0.5000  0.06
Ce8 0.0000 0.0419 0.7702  0.50
Ce9 0.0000 0.0000 0.0000  0.59
Ce10 0.5000 0.2679 0.3614  0.54
In4 0.5000 0.7437 0.8805  -0.01